Compound: FeTe3O
Source: the Alexandria database
Functional: GGA+U
Structure: relaxed

a b c (Å): 4.808 4.808 4.808
angles (deg): 90.00 90.00 90.00
Last column: magnetic moment on the atom in μB.
Element x y z (fractional)
Fe1 0.500 0.500 0.500  3.29
Te1 0.000 0.500 0.000  0.03
Te2 0.500 0.000 0.000  0.01
Te3 0.000 0.000 0.500  0.03
O1 0.000 0.000 0.000  -0.01

E above lowest polymorph (eV per atom): 0.000
ρ (kg/m3): 6791